Record 1
Material: PAu2
Method: DFT, GGA-PBE
State: relaxed

The formation energy is 0.2220 eV per atom. The total DFT energy (no corrections) is -3.7662 eV per atom.

a b c (Å): 6.5816 6.5816 6.6313
angles (deg): 75.72 75.72 25.46
Element x y z (fractional)
P  0.9818  0.9818  0.4953
P  0.2526  0.2526  0.0124
Au  0.9349  0.9349  0.8745
Au  0.3910  0.3910  0.2751
Au  0.6305  0.6305  0.8524
Au  0.6424  0.6424  0.3237

***

Record 2
Material: La3CdPt
Method: DFT, GGA-PBE
State: relaxed

The formation energy is -0.5804 eV per atom. The total DFT energy (no corrections) is -4.9281 eV per atom. The value obtained for the polymorph energy (0 for the lowest one) is 0 meV per atom.

a b c (Å): 5.7114 6.7462 9.5857
angles (deg): 110.05 90.14 114.85
Element x y z (fractional)
La  0.3732  0.7488  0.0781
La  0.1506  0.2993  0.6516
La  0.8699  0.7400  0.7213
La  0.1301  0.2600  0.2787
La  0.6268  0.2512  0.9219
La  0.8494  0.7007  0.3484
Cd  0.5934  0.1843  0.4410
Cd  0.4066  0.8157  0.5590
Pt  0.8882  0.7790  0.0475
Pt  0.1118  0.2210  0.9525

***

Record 3
Material: PmDy2HoIn4
Method: DFT, GGA-PBE
State: relaxed

The formation energy is -0.4682 eV per atom. The total DFT energy (no corrections) is -4.1540 eV per atom.

a b c (Å): 5.3374 5.3374 9.2670
angles (deg): 73.26 73.26 60.00
Element x y z (fractional)
Pm  0.0000  0.0000  0.0000
Dy  0.7504  0.7504  0.7488
Dy  0.2496  0.2496  0.2512
Ho  0.5000  0.5000  0.5000
In  0.3762  0.3762  0.8713
In  0.8739  0.8739  0.3784
In  0.1261  0.1261  0.6216
In  0.6238  0.6238  0.1287

***

Record 4
Material: ZrHg2Au
Method: DFT, GGA-PBE
State: relaxed

The formation energy is -0.0109 eV per atom. The total DFT energy (no corrections) is -3.1182 eV per atom. The value obtained for the polymorph energy (0 for the lowest one) is 148 meV per atom.

a b c (Å): 9.5197 9.5197 9.5197
angles (deg): 19.82 19.82 19.82
Element x y z (fractional)
Au  0.7500  0.7500  0.7500
Hg  0.0027  0.0027  0.0027
Hg  0.4973  0.4973  0.4973
Zr  0.2500  0.2500  0.2500

***

Record 5
Material: TlFe2Ag
Method: DFT, GGA-PBE
State: relaxed

The formation energy is 0.7982 eV per atom. The total DFT energy (no corrections) is -4.7375 eV per atom. The value obtained for the polymorph energy (0 for the lowest one) is 439 meV per atom.

a b c (Å): 7.2814 7.2814 5.8259
angles (deg): 51.32 51.32 90.00
Element x y z (fractional)
Tl  0.0000  0.0000  0.0000
Tl  0.7500  0.2500  0.5000
Fe  0.6186  0.1250  0.2500
Fe  0.1314  0.6250  0.2500
Fe  0.3750  0.3814  0.7500
Fe  0.8750  0.8686  0.7500
Ag  0.5000  0.5000  0.0000
Ag  0.2500  0.7500  0.5000

***

Record 6
Material: CuRu
Method: DFT, GGA-PBE
State: relaxed

The formation energy is 0.1303 eV per atom. The total DFT energy (no corrections) is -6.5557 eV per atom.

a b c (Å): 2.6920 2.6920 8.4620
angles (deg): 90.00 90.00 120.00
Element x y z (fractional)
Cu  0.0000  0.0000  0.0048
Cu  0.3333  0.6667  0.2452
Ru  0.0000  0.0000  0.5031
Ru  0.3333  0.6667  0.7469

***

Record 7
Material: Be2RuPt
Method: DFT, GGA-PBE
State: relaxed

The formation energy is -0.4402 eV per atom. The total DFT energy (no corrections) is -6.1325 eV per atom. The value obtained for the polymorph energy (0 for the lowest one) is 90 meV per atom.

a b c (Å): 3.7376 2.8226 4.4597
angles (deg): 72.09 90.00 90.00
Element x y z (fractional)
Ru  0.5000  0.7588  0.8442
Pt  0.0000  0.4879  0.4111
Be  0.0000  0.2048  0.9601
Be  0.5000  0.0485  0.2847

***

Record 8
Material: ReRh
Method: DFT, GGA-PBE
State: relaxed

The formation energy is 0.5035 eV per atom. The total DFT energy (no corrections) is -9.3963 eV per atom. The value obtained for the polymorph energy (0 for the lowest one) is 680 meV per atom.

a b c (Å): 4.2761 4.2761 7.9053
angles (deg): 90.00 90.00 120.00
Element x y z (fractional)
Re  0.3333  0.6667  0.0849
Re  0.6667  0.3333  0.5849
Re  0.6667  0.3333  0.9151
Re  0.3333  0.6667  0.4151
Rh  0.0000  0.0000  0.2500
Rh  0.0000  0.0000  0.7500
Rh  0.3333  0.6667  0.7500
Rh  0.6667  0.3333  0.2500

***

Record 9
Material: Dy3HoPd
Method: DFT, GGA-PBE
State: relaxed

The formation energy is -0.2637 eV per atom. The total DFT energy (no corrections) is -4.9791 eV per atom. The value obtained for the polymorph energy (0 for the lowest one) is 94 meV per atom.

a b c (Å): 7.1493 7.1493 7.5162
angles (deg): 104.22 114.87 107.43
Element x y z (fractional)
Dy  0.8332  0.0095  0.2406
Dy  0.2312  0.4075  0.2406
Dy  0.7688  0.5925  0.7594
Dy  0.7265  0.4596  0.1861
Dy  0.1668  0.9905  0.7594
Dy  0.2735  0.5404  0.8139
Ho  0.7004  0.0723  0.7727
Ho  0.2996  0.9277  0.2273
Pd  0.6466  0.7692  0.4158
Pd  0.3534  0.2308  0.5842

***

Record 10
Material: BaLaPtI
Method: DFT, GGA-PBE
State: relaxed

The total DFT energy (no corrections) is -4.8053 eV per atom.

a b c (Å): 4.4284 4.4286 9.0226
angles (deg): 90.00 104.21 120.00
Element x y z (fractional)
Ba  0.5047  0.1503  0.6703
La  0.0973  0.9466  0.0592
Pt  0.3237  0.5597  0.8987
I  0.9522  0.3742  0.3414

***

Record 11
Material: LaZr2Fe2
Method: DFT, GGA-PBE
State: relaxed

The formation energy is 0.1345 eV per atom. The total DFT energy (no corrections) is -7.6553 eV per atom. The value obtained for the polymorph energy (0 for the lowest one) is 117 meV per atom.

a b c (Å): 7.7071 7.7071 3.2624
angles (deg): 90.00 90.00 90.00
Element x y z (fractional)
Fe  0.3597  0.8597  0.0000
Fe  0.8597  0.6403  0.0000
Fe  0.6403  0.1403  0.0000
Fe  0.1403  0.3597  0.0000
Zr  0.1441  0.6441  0.5000
Zr  0.6441  0.8559  0.5000
Zr  0.8559  0.3559  0.5000
Zr  0.3559  0.1441  0.5000
La  0.0000  0.0000  0.0000
La  0.5000  0.5000  0.0000

***

Record 12
Material: RbCd2HgSb2
Method: DFT, GGA-PBE
State: relaxed

The total DFT energy (no corrections) is -2.0168 eV per atom.

a b c (Å): 4.9768 4.9768 8.9968
angles (deg): 90.00 90.00 120.00
Element x y z (fractional)
Rb  0.0000  0.0000  0.0000
Cd  0.6667  0.3333  0.6494
Cd  0.3333  0.6667  0.3506
Hg  0.0000  0.0000  0.5000
Sb  0.6667  0.3333  0.2771
Sb  0.3333  0.6667  0.7229

***

Q: Look up the total DFT energy (no corrections) of the third one.
A: -4.1540 eV per atom

***

What did the ninth record say?
Material: Dy3HoPd
Method: DFT, GGA-PBE
State: relaxed

The formation energy is -0.2637 eV per atom. The total DFT energy (no corrections) is -4.9791 eV per atom. The value obtained for the polymorph energy (0 for the lowest one) is 94 meV per atom.

a b c (Å): 7.1493 7.1493 7.5162
angles (deg): 104.22 114.87 107.43
Element x y z (fractional)
Dy  0.8332  0.0095  0.2406
Dy  0.2312  0.4075  0.2406
Dy  0.7688  0.5925  0.7594
Dy  0.7265  0.4596  0.1861
Dy  0.1668  0.9905  0.7594
Dy  0.2735  0.5404  0.8139
Ho  0.7004  0.0723  0.7727
Ho  0.2996  0.9277  0.2273
Pd  0.6466  0.7692  0.4158
Pd  0.3534  0.2308  0.5842